# LaPm2ThBi5 (PBE, optimized geometry)
data_LaPm2ThBi5
_chemical_formula_sum 'La1 Pm2 Th1 Bi5'
_space_group_name_H-M_alt 'P 4/m m m'
_space_group_IT_number 123
_space_group_name_Hall '-P 4 2'
_cell_length_a 5.722
_cell_length_b 5.722
_cell_length_c 12.201
_cell_angle_alpha 90.00
_cell_angle_beta 90.00
_cell_angle_gamma 90.00
loop_
_atom_site_label
_atom_site_type_symbol
_atom_site_fract_x
_atom_site_fract_y
_atom_site_fract_z
La1 La 0.000 0.000 0.000
Pm1 Pm 0.500 0.500 0.270
Th1 Th 0.000 0.000 0.500
Bi1 Bi 0.000 0.000 0.247
Bi2 Bi 0.000 0.500 0.500
Bi3 Bi 0.500 0.500 0.000
# - total energy (eV per atom) = -4.567
# - crystal system = tetragonal

=====

# BaRePb2 (PBE, optimized geometry)
data_BaRePb2
_chemical_formula_sum 'Ba2 Re2 Pb4'
_space_group_name_H-M_alt 'I m m m'
_space_group_IT_number 71
_space_group_name_Hall '-I 2 2'
_cell_length_a 3.303
_cell_length_b 6.310
_cell_length_c 11.201
_cell_angle_alpha 90.00
_cell_angle_beta 90.00
_cell_angle_gamma 90.00
loop_
_atom_site_label
_atom_site_type_symbol
_atom_site_fract_x
_atom_site_fract_y
_atom_site_fract_z
Ba1 Ba 0.000 0.000 0.000
Re1 Re 0.000 0.000 0.500
Pb1 Pb 0.000 0.500 0.204
# - E above lowest polymorph (meV/atom) = 88.9
# - crystal system = orthorhombic

=====

# Ca4Cd3Au (PBE, optimized geometry)
data_Ca4Cd3Au
_chemical_formula_sum 'Ca4 Cd3 Au1'
_space_group_name_H-M_alt 'P 4/m m m'
_space_group_IT_number 123
_space_group_name_Hall '-P 4 2'
_cell_length_a 3.763
_cell_length_b 3.763
_cell_length_c 15.273
_cell_angle_alpha 90.00
_cell_angle_beta 90.00
_cell_angle_gamma 90.00
loop_
_atom_site_label
_atom_site_type_symbol
_atom_site_fract_x
_atom_site_fract_y
_atom_site_fract_z
Ca1 Ca 0.000 0.000 0.114
Ca2 Ca 0.000 0.000 0.372
Cd1 Cd 0.500 0.500 0.244
Cd2 Cd 0.500 0.500 0.500
Au1 Au 0.500 0.500 0.000
# - total energy (eV per atom) = -2.214
# - crystal system = tetragonal